No. 1
The following is a PBE-GGA calculation of Ce4PuCu2 after structural relaxation, from Alexandria via LeMat-Bulk.

The structure in CIF format:
```
data_Ce4PuCu2
_chemical_formula_sum 'Ce8 Pu2 Cu4'
_cell_length_a 16.120
_cell_length_b 3.156
_cell_length_c 6.525
_cell_angle_alpha 90.00
_cell_angle_beta 109.81
_cell_angle_gamma 90.00
_symmetry_space_group_name_H-M 'C 1 2/m 1'
_symmetry_Int_Tables_number 12
_symmetry_space_group_name_Hall '-C 2y'
loop_
_atom_site_label
_atom_site_type_symbol
_atom_site_fract_x
_atom_site_fract_y
_atom_site_fract_z
_atom_site_occupancy
Ce1 Ce 0.072 0.000 0.424 1
Ce2 Ce 0.150 0.500 0.986 1
Pu1 Pu 0.000 0.000 0.000 1
Cu1 Cu 0.238 0.500 0.632 1
```

The energy comes out at -91.139 eV/cell. Its formation energy is 0.099 eV per atom.



No. 2
The following is a PBE-GGA calculation of Ce2PuCu2Rh5 after structural relaxation, from Alexandria via LeMat-Bulk.

The structure in CIF format:
```
data_Ce2PuCu2Rh5
_chemical_formula_sum 'Ce4 Pu2 Cu4 Rh10'
_cell_length_a 9.571
_cell_length_b 9.571
_cell_length_c 3.849
_cell_angle_alpha 90.00
_cell_angle_beta 90.00
_cell_angle_gamma 90.00
_symmetry_space_group_name_H-M 'P 4/m b m'
_symmetry_Int_Tables_number 127
_symmetry_space_group_name_Hall '-P 4 2ab'
loop_
_atom_site_label
_atom_site_type_symbol
_atom_site_fract_x
_atom_site_fract_y
_atom_site_fract_z
_atom_site_occupancy
Ce1 Ce 0.170 0.330 0.000 1
Pu1 Pu 0.000 0.000 0.000 1
Cu1 Cu 0.124 0.624 0.000 1
Rh1 Rh 0.000 0.500 0.500 1
Rh2 Rh 0.074 0.793 0.500 1
```

The energy comes out at -152.318 eV/cell. Its formation energy is -0.501 eV per atom.



No. 3
The following is a PBE-GGA calculation of CePuCuRu after structural relaxation, from Alexandria via LeMat-Bulk.

The structure in CIF format:
```
data_CePuCuRu
_chemical_formula_sum 'Ce4 Pu4 Cu4 Ru4'
_cell_length_a 6.595
_cell_length_b 6.595
_cell_length_c 6.595
_cell_angle_alpha 90.00
_cell_angle_beta 90.00
_cell_angle_gamma 90.00
_symmetry_space_group_name_H-M 'F -4 3 m'
_symmetry_Int_Tables_number 216
_symmetry_space_group_name_Hall 'F -4 2 3'
loop_
_atom_site_label
_atom_site_type_symbol
_atom_site_fract_x
_atom_site_fract_y
_atom_site_fract_z
_atom_site_occupancy
Ce1 Ce 0.000 0.000 0.000 1
Pu1 Pu 0.250 0.250 0.250 1
Cu1 Cu 0.000 0.000 0.500 1
Ru1 Ru 0.250 0.250 0.750 1
```

The energy comes out at -137.078 eV/cell. Its formation energy is -0.158 eV per atom.



No. 4
The following is a PBE-GGA calculation of CePuCuS4 after structural relaxation, from Alexandria via LeMat-Bulk.

The structure in CIF format:
```
data_CePuCuS4
_chemical_formula_sum 'Ce2 Pu2 Cu2 S8'
_cell_length_a 6.477
_cell_length_b 5.991
_cell_length_c 7.728
_cell_angle_alpha 90.00
_cell_angle_beta 107.43
_cell_angle_gamma 90.00
_symmetry_space_group_name_H-M 'P 1 21/m 1'
_symmetry_Int_Tables_number 11
_symmetry_space_group_name_Hall '-P 2yb'
loop_
_atom_site_label
_atom_site_type_symbol
_atom_site_fract_x
_atom_site_fract_y
_atom_site_fract_z
_atom_site_occupancy
Ce1 Ce 0.246 0.250 0.435 1
Pu1 Pu 0.262 0.250 0.941 1
Cu1 Cu 0.256 0.750 0.188 1
S1 S 0.060 0.750 0.893 1
S2 S 0.063 0.750 0.388 1
S3 S 0.483 0.513 0.747 1
```

The energy comes out at -100.956 eV/cell. For the uncorrected formation energy, the calculation gives -1.372 eV per atom.



No. 5
The following is a PBE-GGA calculation of CePuCuSe4 after structural relaxation, from Alexandria via LeMat-Bulk.

The structure in CIF format:
```
data_CePuCuSe4
_chemical_formula_sum 'Ce2 Pu2 Cu2 Se8'
_cell_length_a 7.087
_cell_length_b 5.829
_cell_length_c 8.293
_cell_angle_alpha 90.00
_cell_angle_beta 106.97
_cell_angle_gamma 90.00
_symmetry_space_group_name_H-M 'P 1 21/m 1'
_symmetry_Int_Tables_number 11
_symmetry_space_group_name_Hall '-P 2yb'
loop_
_atom_site_label
_atom_site_type_symbol
_atom_site_fract_x
_atom_site_fract_y
_atom_site_fract_z
_atom_site_occupancy
Ce1 Ce 0.234 0.250 0.430 1
Pu1 Pu 0.236 0.250 0.937 1
Cu1 Cu 0.240 0.750 0.184 1
Se1 Se 0.071 0.750 0.395 1
Se2 Se 0.074 0.750 0.890 1
Se3 Se 0.483 0.509 0.747 1
```

The energy comes out at -93.686 eV/cell. For the uncorrected formation energy, the calculation gives -1.220 eV per atom.



No. 6
The following is a PBE-GGA calculation of Ce2Pu2CuSi4 after structural relaxation, from Alexandria via LeMat-Bulk.

The structure in CIF format:
```
data_Ce2Pu2CuSi4
_chemical_formula_sum 'Ce4 Pu4 Cu2 Si8'
_cell_length_a 6.730
_cell_length_b 6.730
_cell_length_c 8.480
_cell_angle_alpha 90.00
_cell_angle_beta 90.00
_cell_angle_gamma 90.00
_symmetry_space_group_name_H-M 'I 4/m m m'
_symmetry_Int_Tables_number 139
_symmetry_space_group_name_Hall '-I 4 2'
loop_
_atom_site_label
_atom_site_type_symbol
_atom_site_fract_x
_atom_site_fract_y
_atom_site_fract_z
_atom_site_occupancy
Ce1 Ce 0.000 0.500 0.250 1
Pu1 Pu 0.000 0.000 0.174 1
Cu1 Cu 0.000 0.000 0.500 1
Si1 Si 0.238 0.238 0.500 1
```

The energy comes out at -137.267 eV/cell. For the uncorrected formation energy, the calculation gives -0.257 eV per atom.



No. 7
The following is a PBE-GGA calculation of Ce2PuCu2Si2 after structural relaxation, from Alexandria via LeMat-Bulk.

The structure in CIF format:
```
data_Ce2PuCu2Si2
_chemical_formula_sum 'Ce6 Pu3 Cu6 Si6'
_cell_length_a 4.1771
_cell_length_b 4.1771
_cell_length_c 27.1428
_cell_angle_alpha 90.00
_cell_angle_beta 90.00
_cell_angle_gamma 120.00
_symmetry_space_group_name_H-M 'R -3 m'
_symmetry_Int_Tables_number 166
_symmetry_space_group_name_Hall '-R 3 2"'
loop_
_atom_site_label
_atom_site_type_symbol
_atom_site_fract_x
_atom_site_fract_y
_atom_site_fract_z
_atom_site_occupancy
Ce1 Ce 0.0000 0.0000 0.1392 1
Pu1 Pu 0.0000 0.0000 0.0000 1
Cu1 Cu 0.0000 0.0000 0.4044 1
Si1 Si 0.0000 0.0000 0.2634 1
```

The energy comes out at -143.496 eV/cell. For the uncorrected formation energy, the calculation gives -0.371 eV per atom.



No. 8
The following is a PBE-GGA calculation of CePu2Cu2Sn2 after structural relaxation, from Alexandria via LeMat-Bulk.

The structure in CIF format:
```
data_CePu2Cu2Sn2
_chemical_formula_sum 'Ce3 Pu6 Cu6 Sn6'
_cell_length_a 4.2015
_cell_length_b 4.2015
_cell_length_c 29.3261
_cell_angle_alpha 90.00
_cell_angle_beta 90.00
_cell_angle_gamma 120.00
_symmetry_space_group_name_H-M 'R -3 m'
_symmetry_Int_Tables_number 166
_symmetry_space_group_name_Hall '-R 3 2"'
loop_
_atom_site_label
_atom_site_type_symbol
_atom_site_fract_x
_atom_site_fract_y
_atom_site_fract_z
_atom_site_occupancy
Ce1 Ce 0.0000 0.0000 0.0000 1
Pu1 Pu 0.0000 0.0000 0.1563 1
Cu1 Cu 0.0000 0.0000 0.4345 1
Sn1 Sn 0.0000 0.0000 0.2621 1
```

The energy comes out at -153.384 eV/cell. Its formation energy is -0.047 eV per atom.



No. 9
The following is a PBE-GGA calculation of CePuCuTc after structural relaxation, from Alexandria via LeMat-Bulk.

The structure in CIF format:
```
data_CePuCuTc
_chemical_formula_sum 'Ce4 Pu4 Cu4 Tc4'
_cell_length_a 6.617
_cell_length_b 6.617
_cell_length_c 6.617
_cell_angle_alpha 90.00
_cell_angle_beta 90.00
_cell_angle_gamma 90.00
_symmetry_space_group_name_H-M 'F -4 3 m'
_symmetry_Int_Tables_number 216
_symmetry_space_group_name_Hall 'F -4 2 3'
loop_
_atom_site_label
_atom_site_type_symbol
_atom_site_fract_x
_atom_site_fract_y
_atom_site_fract_z
_atom_site_occupancy
Ce1 Ce 0.000 0.000 0.000 1
Pu1 Pu 0.250 0.250 0.250 1
Cu1 Cu 0.000 0.000 0.500 1
Tc1 Tc 0.250 0.250 0.750 1
```

The energy comes out at -138.595 eV/cell. Its formation energy is 0.020 eV per atom.



No. 10
The following is a PBE-GGA calculation of CePuZnCu after structural relaxation, from Alexandria via LeMat-Bulk.

The structure in CIF format:
```
data_CePuZnCu
_chemical_formula_sum 'Ce4 Pu4 Zn4 Cu4'
_cell_length_a 6.818
_cell_length_b 6.818
_cell_length_c 6.818
_cell_angle_alpha 90.00
_cell_angle_beta 90.00
_cell_angle_gamma 90.00
_symmetry_space_group_name_H-M 'F -4 3 m'
_symmetry_Int_Tables_number 216
_symmetry_space_group_name_Hall 'F -4 2 3'
loop_
_atom_site_label
_atom_site_type_symbol
_atom_site_fract_x
_atom_site_fract_y
_atom_site_fract_z
_atom_site_occupancy
Ce1 Ce 0.000 0.000 0.000 1
Pu1 Pu 0.250 0.250 0.750 1
Zn1 Zn 0.250 0.250 0.250 1
Cu1 Cu 0.000 0.000 0.500 1
```

The energy comes out at -103.717 eV/cell. Its formation energy is -0.073 eV per atom.